Entry 1:
Material: K3Ce2FeSe6
Method: DFT, PBE-GGA
State: relaxed

Unit cell a=7.1065 b=12.3368 c=8.0697 alpha=90.00 beta=107.36 gamma=90.00
Closest atoms and distances in Å follow each position.
Space group C2/m (No. 12)
One atom of each set of equivalent atoms:
K1 0.0000 0.0000 0.0000 (multiplicity 2)  6 Se 3.25-3.53
K2 0.0000 0.3269 0.0000 (multiplicity 4)  6 Se 3.27-3.47
Ce1 0.0000 0.1658 0.5000 (multiplicity 4)  6 Se 2.93
Fe1 0.0000 0.5000 0.5000 (multiplicity 2)  6 Se 2.59-2.60
Se1 0.2136 0.3514 0.6953 (multiplicity 8)  1 Fe 2.59
Se2 0.2298 0.5000 0.3030 (multiplicity 4)  1 Fe 2.60

Summary:
Theoretical density in g/cm3: 4.56
E in eV/atom: -4.92

=====

Entry 2:
Material: LaCeFe
Method: DFT, PBE-GGA
State: relaxed

Unit cell a=7.2611 b=6.5993 c=7.8337 alpha=90.00 beta=121.55 gamma=90.00
Closest atoms and distances in Å follow each position.
Space group P2_1/c (No. 14)
One atom of each set of equivalent atoms:
La1 0.1530 0.1799 0.3972 (multiplicity 4)  3 Fe 3.07-3.21
Ce1 0.3562 0.6987 0.6440 (multiplicity 4)  1 Fe 2.13
Fe1 0.3428 0.5566 0.3146 (multiplicity 4)  1 Ce 2.13

Summary:
Theoretical density in g/cm3: 6.95
Formation energy from the elements in eV per atom: -0.060

=====

Entry 3:
Material: La2CeFe
Method: DFT, PBE-GGA
State: relaxed

Unit cell a=3.6890 b=9.9250 c=6.5274 alpha=90.00 beta=106.28 gamma=90.00
Closest atoms and distances in Å follow each position.
Space group P2_1/m (No. 11)
One atom of each set of equivalent atoms:
La1 0.1482 0.0723 0.2928 (multiplicity 4)  3 Fe 3.12-3.30, 1 La 3.49
Ce1 0.3943 0.2500 0.7924 (multiplicity 2)  2 Fe 2.27
Fe1 0.2103 0.7500 0.4195 (multiplicity 2)  2 Ce 2.27

Summary:
Theoretical density in g/cm3: 6.86
Formation energy from the elements in eV per atom: -0.034

=====

Entry 4:
Material: LaCeFe
Method: DFT, PBE-GGA
State: relaxed

Unit cell a=4.0963 b=4.0963 c=5.1519 alpha=90.00 beta=90.00 gamma=120.00
Closest atoms and distances in Å follow each position.
Space group P-6m2 (No. 187)
One atom of each set of equivalent atoms:
La1 0.0000 0.0000 0.0000 (multiplicity 1)  6 Ce 3.50, 6 Fe 3.50
Ce1 0.3333 0.6667 0.5000 (multiplicity 1)  3 Fe 2.37
Fe1 0.6667 0.3333 0.5000 (multiplicity 1)  3 Ce 2.37

Summary:
Theoretical density in g/cm3: 7.43
Formation energy from the elements in eV per atom: 0.008

=====

Entry 5:
Material: LaCe2Fe
Method: DFT, PBE-GGA
State: relaxed

Unit cell a=3.8152 b=3.8152 c=26.0312 alpha=90.00 beta=90.00 gamma=120.00
Closest atoms and distances in Å follow each position.
Space group R3m (No. 160, hexagonal axes)
One atom of each set of equivalent atoms:
La1 0.0000 0.0000 0.0000 (multiplicity 3)  6 Ce 3.57-3.69, 6 La 3.82
Ce1 0.0000 0.0000 0.5530 (multiplicity 3)  3 Fe 2.72
Ce2 0.0000 0.0000 0.7748 (multiplicity 3)  3 Fe 2.56
Fe1 0.0000 0.0000 0.1584 (multiplicity 3)  6 Ce 2.56-2.72

Summary:
Theoretical density in g/cm3: 7.21
Formation energy from the elements in eV per atom: 0.079

=====

Entry 6:
Material: LaCe2Fe
Method: DFT, PBE-GGA
State: relaxed

Unit cell a=4.3854 b=4.3854 c=17.0133 alpha=90.00 beta=90.00 gamma=120.00
Closest atoms and distances in Å follow each position.
Space group R-3m (No. 166, hexagonal axes)
One atom of each set of equivalent atoms:
La1 0.0000 0.0000 0.0000 (multiplicity 3)  6 Ce 3.08
Ce1 0.0000 0.0000 0.2307 (multiplicity 6)  3 Fe 2.76, 3 La 3.08
Fe1 0.0000 0.0000 0.5000 (multiplicity 3)  6 Ce 2.76

Summary:
Theoretical density in g/cm3: 8.35
Formation energy from the elements in eV per atom: 0.191

=====

Entry 7:
Material: LaCe2Fe
Method: DFT, PBE-GGA
State: relaxed

Unit cell a=3.4888 b=3.4888 c=8.1312 alpha=90.00 beta=90.00 gamma=90.00
Closest atoms and distances in Å follow each position.
Space group P4/mmm (No. 123)
One atom of each set of equivalent atoms:
La1 0.0000 0.0000 0.0000 (multiplicity 1)  4 La 3.49, 8 Ce 3.54
Ce1 0.5000 0.5000 0.3124 (multiplicity 2)  4 Fe 2.90, 1 Ce 3.05
Fe1 0.0000 0.0000 0.5000 (multiplicity 1)  8 Ce 2.90

Summary:
Theoretical density in g/cm3: 7.97
Formation energy from the elements in eV per atom: 0.110

=====

Entry 8:
Material: LaCe2FeN5
Method: DFT, PBE-GGA
State: relaxed

Unit cell a=6.6342 b=6.6342 c=11.1747 alpha=90.00 beta=90.00 gamma=90.00
Closest atoms and distances in Å follow each position.
Space group I4/mcm (No. 140)
One atom of each set of equivalent atoms:
La1 0.0000 0.0000 0.2500 (multiplicity 4)  10 N 2.79-2.83
Ce1 0.1765 0.3235 0.0000 (multiplicity 8)  4 N 2.34-2.44
Fe1 0.0000 0.5000 0.2500 (multiplicity 4)  4 N 1.79
N1 0.0000 0.0000 0.0000 (multiplicity 4)  4 Ce 2.44
N2 0.1407 0.3593 0.3576 (multiplicity 16)  1 Fe 1.79

Summary:
Theoretical density in g/cm3: 7.36
E in eV/atom: -8.51

=====

Entry 9:
Material: La2CeFeN4
Method: DFT, PBE-GGA
State: relaxed

Unit cell a=3.4583 b=12.0173 c=12.4730 alpha=90.00 beta=90.00 gamma=90.00
Closest atoms and distances in Å follow each position.
Space group Cmcm (No. 63)
One atom of each set of equivalent atoms:
La1 0.0000 0.1317 0.0468 (multiplicity 8)  4 N 2.42-2.58
Ce1 0.0000 0.3710 0.2500 (multiplicity 4)  4 N 2.42
Fe1 0.0000 0.3335 0.7500 (multiplicity 4)  4 N 1.86-1.94
N1 0.0000 0.1089 0.2500 (multiplicity 4)  2 Fe 1.86
N2 0.0000 0.2158 0.6432 (multiplicity 8)  1 Fe 1.94
N3 0.0000 0.5000 0.0000 (multiplicity 4)  4 La 2.42

Summary:
Theoretical density in g/cm3: 6.79
E in eV/atom: -8.11

=====

Entry 10:
Material: LaCe2FeN4
Method: DFT, PBE-GGA
State: relaxed

Unit cell a=3.5533 b=11.6840 c=11.7118 alpha=90.00 beta=90.00 gamma=90.00
Closest atoms and distances in Å follow each position.
Space group Cmcm (No. 63)
One atom of each set of equivalent atoms:
La1 0.0000 0.0968 0.2500 (multiplicity 4)  6 N 2.56-2.85
Ce1 0.0000 0.3680 0.0547 (multiplicity 8)  6 N 2.38-2.47
Fe1 0.0000 0.1651 0.7500 (multiplicity 4)  2 N 1.91
N1 0.0000 0.0000 0.0000 (multiplicity 4)  4 Ce 2.44
N2 0.0000 0.2638 0.6198 (multiplicity 8)  1 Fe 1.91
N3 0.0000 0.4385 0.2500 (multiplicity 4)  2 Fe 2.15

Summary:
Theoretical density in g/cm3: 7.25
E in eV/atom: -8.47

=====

Entry 11:
Material: LiCeFe4
Method: DFT, PBE-GGA
State: relaxed

Unit cell a=7.0133 b=7.0133 c=7.0133 alpha=90.00 beta=90.00 gamma=90.00
Closest atoms and distances in Å follow each position.
Space group F-43m (No. 216)
One atom of each set of equivalent atoms:
Li1 0.0000 0.0000 0.0000 (multiplicity 4)  12 Fe 2.91, 4 Ce 3.04
Ce1 0.2500 0.2500 0.2500 (multiplicity 4)  12 Fe 2.91, 4 Li 3.04
Fe1 0.1252 0.1252 0.6252 (multiplicity 16)  6 Fe 2.48

Summary:
Theoretical density in g/cm3: 7.13
Formation energy from the elements in eV per atom: 0.080

=====

Entry 12:
Material: LiCe2Fe
Method: DFT, PBE-GGA
State: relaxed

Unit cell a=3.7515 b=3.7515 c=25.3581 alpha=90.00 beta=90.00 gamma=120.00
Closest atoms and distances in Å follow each position.
Space group R3m (No. 160, hexagonal axes)
One atom of each set of equivalent atoms:
Li1 0.0000 0.0000 0.0000 (multiplicity 3)  6 Ce 3.50, 6 Li 3.75
Ce1 0.0000 0.0000 0.5581 (multiplicity 3)  3 Fe 2.64
Ce2 0.0000 0.0000 0.7751 (multiplicity 3)  3 Fe 2.60
Fe1 0.0000 0.0000 0.1652 (multiplicity 3)  6 Ce 2.60-2.64

Summary:
Theoretical density in g/cm3: 5.53
Formation energy from the elements in eV per atom: 0.145

=====

Entry 13:
Material: LiCe2Fe
Method: DFT, PBE-GGA
State: relaxed

Unit cell a=3.1866 b=3.1866 c=8.9105 alpha=90.00 beta=90.00 gamma=90.00
Closest atoms and distances in Å follow each position.
Space group P4/mmm (No. 123)
One atom of each set of equivalent atoms:
Li1 0.0000 0.0000 0.0000 (multiplicity 1)  4 Li 3.19, 8 Ce 3.53
Ce1 0.5000 0.5000 0.3049 (multiplicity 2)  4 Fe 2.85, 4 Ce 3.19
Fe1 0.0000 0.0000 0.5000 (multiplicity 1)  8 Ce 2.85, 4 Fe 3.19

Summary:
Theoretical density in g/cm3: 6.30
Formation energy from the elements in eV per atom: 0.111

=====

Entry 14:
Material: LiCe2Fe
Method: DFT, PBE-GGA
State: relaxed

Unit cell a=3.6852 b=3.6852 c=28.8922 alpha=90.00 beta=90.00 gamma=120.00
Closest atoms and distances in Å follow each position.
Space group R-3m (No. 166, hexagonal axes)
One atom of each set of equivalent atoms:
Li1 0.0000 0.0000 0.0000 (multiplicity 3)  2 Ce 3.32, 6 Li 3.69
Ce1 0.0000 0.0000 0.1148 (multiplicity 6)  3 Fe 2.60
Fe1 0.0000 0.0000 0.5000 (multiplicity 3)  6 Ce 2.60

Summary:
Theoretical density in g/cm3: 5.03
Formation energy from the elements in eV per atom: 0.233

=====

Entry 15:
Material: LiCeFe
Method: DFT, PBE-GGA
State: relaxed

Unit cell a=9.9499 b=4.8445 c=4.7525 alpha=90.00 beta=108.92 gamma=90.00
Closest atoms and distances in Å follow each position.
Space group C2/m (No. 12)
One atom of each set of equivalent atoms:
Li1 0.0316 0.0000 0.2899 (multiplicity 4)  1 Li 2.28
Ce1 0.1865 0.5000 0.1654 (multiplicity 4)  1 Fe 2.10
Fe1 0.1107 0.5000 0.6990 (multiplicity 4)  1 Ce 2.10

Summary:
Theoretical density in g/cm3: 6.22
Formation energy from the elements in eV per atom: -0.025

=====

Entry 16:
Material: LiCe3Fe
Method: DFT, PBE-GGA
State: relaxed

Unit cell a=5.1490 b=5.1490 c=5.1490 alpha=90.00 beta=90.00 gamma=90.00
Closest atoms and distances in Å follow each position.
Space group Pm-3m (No. 221)
One atom of each set of equivalent atoms:
Li1 0.0000 0.0000 0.0000 (multiplicity 1)  12 Ce 3.64
Ce1 0.0000 0.5000 0.5000 (multiplicity 3)  2 Fe 2.57
Fe1 0.5000 0.5000 0.5000 (multiplicity 1)  6 Ce 2.57

Summary:
Theoretical density in g/cm3: 5.88
Formation energy from the elements in eV per atom: 0.137

=====

Entry 17:
Material: Li2CeFeN4
Method: DFT, PBE-GGA
State: relaxed

Unit cell a=5.3816 b=5.3816 c=6.2051 alpha=90.00 beta=90.00 gamma=90.00
Closest atoms and distances in Å follow each position.
Space group I-42m (No. 121)
One atom of each set of equivalent atoms:
Li1 0.0000 0.5000 0.2500 (multiplicity 4)  4 N 2.04
Ce1 0.0000 0.0000 0.0000 (multiplicity 2)  8 N 2.52-2.60
Fe1 0.0000 0.0000 0.5000 (multiplicity 2)  4 N 1.73
N1 0.1846 0.1846 0.3372 (multiplicity 8)  1 Fe 1.73

Summary:
Theoretical density in g/cm3: 4.91
E in eV/atom: -6.90

=====

Entry 18:
Material: Li3Ce2FeNi12
Method: DFT, PBE-GGA
State: relaxed

Unit cell a=6.0207 b=6.0207 c=24.4749 alpha=90.00 beta=90.00 gamma=120.00
Closest atoms and distances in Å follow each position.
Space group R-3m (No. 166, hexagonal axes)
One atom of each set of equivalent atoms:
Li1 0.0000 0.5000 0.0000 (multiplicity 9)  6 Ni 2.31-2.47
Ce1 0.0000 0.0000 0.1504 (multiplicity 6)  6 Ni 2.75-2.80
Fe1 0.0000 0.0000 0.5000 (multiplicity 3)  6 Ni 2.27
Ni1 0.0267 0.5134 0.1008 (multiplicity 18)  1 Fe 2.27, 2 Ni 2.37, 1 Li 2.47
Ni2 0.0746 0.5373 0.6166 (multiplicity 18)  2 Li 2.31, 4 Ni 2.34-2.37

Summary:
Theoretical density in g/cm3: 6.88
Formation energy from the elements in eV per atom: 0.153

=====

Entry 19:
Material: LiCePmFe
Method: DFT, PBE-GGA
State: relaxed

Unit cell a=6.9936 b=6.9936 c=6.9936 alpha=90.00 beta=90.00 gamma=90.00
Closest atoms and distances in Å follow each position.
Space group F-43m (No. 216)
One atom of each set of equivalent atoms:
Li1 0.0000 0.0000 0.0000 (multiplicity 4)  4 Ce 3.03, 4 Pm 3.03
Ce1 0.2500 0.2500 0.7500 (multiplicity 4)  4 Fe 3.03, 4 Li 3.03
Pm1 0.2500 0.2500 0.2500 (multiplicity 4)  4 Fe 3.03, 4 Li 3.03
Fe1 0.0000 0.0000 0.5000 (multiplicity 4)  4 Ce 3.03, 4 Pm 3.03

Summary:
Theoretical density in g/cm3: 6.76
Formation energy from the elements in eV per atom: 0.189

=====

Entry 20:
Material: Li3Ce3FeSe8
Method: DFT, PBE-GGA
State: relaxed

Unit cell a=8.1927 b=8.1927 c=19.2377 alpha=90.00 beta=90.00 gamma=120.00
Closest atoms and distances in Å follow each position.
Space group R-3m (No. 166, hexagonal axes)
One atom of each set of equivalent atoms:
Li1 0.0000 0.5000 0.0000 (multiplicity 9)  6 Se 2.81-2.83
Ce1 0.0000 0.5000 0.5000 (multiplicity 9)  6 Se 2.90-2.91
Fe1 0.0000 0.0000 0.5000 (multiplicity 3)  6 Se 2.68
Se1 0.0000 0.0000 0.2549 (multiplicity 6)  3 Li 2.81, 3 Ce 2.91
Se2 0.0239 0.5119 0.2467 (multiplicity 18)  1 Fe 2.68, 2 Li 2.83, 2 Ce 2.90

Summary:
Theoretical density in g/cm3: 5.03
E in eV/atom: -5.29

=====

Entry 21:
Material: LiCeZrFe
Method: DFT, PBE-GGA
State: relaxed

Unit cell a=6.6623 b=6.6623 c=6.6623 alpha=90.00 beta=90.00 gamma=90.00
Closest atoms and distances in Å follow each position.
Space group F-43m (No. 216)
One atom of each set of equivalent atoms:
Li1 0.0000 0.0000 0.0000 (multiplicity 4)  4 Zr 2.88, 4 Ce 2.88
Ce1 0.2500 0.2500 0.7500 (multiplicity 4)  4 Fe 2.88, 4 Li 2.88
Zr1 0.2500 0.2500 0.2500 (multiplicity 4)  4 Fe 2.88, 4 Li 2.88
Fe1 0.0000 0.0000 0.5000 (multiplicity 4)  4 Zr 2.88, 4 Ce 2.88

Summary:
Theoretical density in g/cm3: 6.61
Formation energy from the elements in eV per atom: 0.150

=====

Entry 22:
Material: CeLu2Fe
Method: DFT, PBE-GGA
State: relaxed

Unit cell a=3.2681 b=3.2681 c=8.8646 alpha=90.00 beta=90.00 gamma=90.00
Closest atoms and distances in Å follow each position.
Space group P4/mmm (No. 123)
One atom of each set of equivalent atoms:
Ce1 0.0000 0.0000 0.0000 (multiplicity 1)  4 Ce 3.27
Lu1 0.5000 0.5000 0.3233 (multiplicity 2)  4 Fe 2.79
Fe1 0.0000 0.0000 0.5000 (multiplicity 1)  8 Lu 2.79

Summary:
Theoretical density in g/cm3: 9.57
Formation energy from the elements in eV per atom: 0.045

=====

Entry 23:
Material: CeLuFe2
Method: DFT, PBE-GGA
State: relaxed

Unit cell a=4.6509 b=4.6509 c=3.2795 alpha=90.00 beta=90.00 gamma=90.00
Closest atoms and distances in Å follow each position.
Space group P4/mmm (No. 123)
One atom of each set of equivalent atoms:
Ce1 0.0000 0.0000 0.0000 (multiplicity 1)  8 Fe 2.85
Lu1 0.5000 0.5000 0.0000 (multiplicity 1)  8 Fe 2.85
Fe1 0.0000 0.5000 0.5000 (multiplicity 2)  4 Lu 2.85, 4 Ce 2.85

Summary:
Theoretical density in g/cm3: 9.99
Formation energy from the elements in eV per atom: 0.073

=====

Entry 24:
Material: CeLuMnFe
Method: DFT, PBE-GGA
State: relaxed

Unit cell a=6.7398 b=6.7398 c=6.7398 alpha=90.00 beta=90.00 gamma=90.00
Closest atoms and distances in Å follow each position.
Space group F-43m (No. 216)
One atom of each set of equivalent atoms:
Ce1 0.0000 0.0000 0.0000 (multiplicity 4)  4 Mn 2.92, 4 Fe 2.92
Lu1 0.0000 0.0000 0.5000 (multiplicity 4)  4 Mn 2.92, 4 Fe 2.92
Mn1 0.2500 0.2500 0.7500 (multiplicity 4)  4 Ce 2.92, 4 Lu 2.92
Fe1 0.2500 0.2500 0.2500 (multiplicity 4)  4 Ce 2.92, 4 Lu 2.92

Summary:
Theoretical density in g/cm3: 9.24
Formation energy from the elements in eV per atom: 0.116

=====

Entry 25:
Material: CeLuFeOs
Method: DFT, PBE-GGA
State: relaxed

Unit cell a=6.7673 b=6.7673 c=6.7673 alpha=90.00 beta=90.00 gamma=90.00
Closest atoms and distances in Å follow each position.
Space group F-43m (No. 216)
One atom of each set of equivalent atoms:
Ce1 0.0000 0.0000 0.0000 (multiplicity 4)  4 Os 2.93, 4 Fe 2.93
Lu1 0.0000 0.0000 0.5000 (multiplicity 4)  4 Fe 2.93, 4 Os 2.93
Fe1 0.2500 0.2500 0.7500 (multiplicity 4)  4 Ce 2.93, 4 Lu 2.93
Os1 0.2500 0.2500 0.2500 (multiplicity 4)  4 Lu 2.93, 4 Ce 2.93

Summary:
Theoretical density in g/cm3: 12.03
Formation energy from the elements in eV per atom: -0.089